# 1
First-principles (PBE) data for an optimized crystal structure of Tb2PaTl2Te6, as listed in the Alexandria database.

The uncorrected formation energy is -0.989 eV per atom. The value obtained for the density is 6.818 Mg/m³. As for the electronic total energy: -4.838 eV per atom.

The space group is C2/m (No. 12) and the conventional cell measures 7.647, 13.256 and 8.673 Å, with angles of 90.00, 107.30 and 90.00 degrees. The inequivalent atoms are Tb at (0.000, 0.168, 0.000), Pa at (0.000, 0.500, 0.000), Tl at (0.000, 0.334, 0.500), Te at (0.238, 0.335, 0.214) and Te at (0.240, 0.000, 0.214).

---

# 2
First-principles (PBE) data for an optimized crystal structure of K2HgBi, as listed in the Alexandria database.

The value obtained for the density is 5.191 Mg/m³. Its energy above the most stable polymorph in this dataset is 0 meV per atom. As for the electronic total energy: -1.877 eV per atom. The energy of formation from the pure elements is -1.130 eV per formula unit.

The space group is Cmcm (No. 63) and the conventional cell measures 10.700, 9.004 and 6.478 Å, with angles of 90.00, 90.00 and 90.00 degrees. The inequivalent atoms are K at (0.178, 0.156, 0.250), Hg at (0.000, 0.500, 0.000) and Bi at (0.000, 0.198, 0.750).

---

# 3
First-principles (PBE) data for an optimized crystal structure of Sr2Mg, as listed in the Alexandria database.

The value obtained for the density is 2.585 Mg/m³. As for the electronic total energy: -1.687 eV per atom. The energy of formation from the pure elements is -0.104 eV per formula unit.

The space group is P4/mmm (No. 123) and the conventional cell measures 4.209, 4.209 and 14.467 Å, with angles of 90.00, 90.00 and 90.00 degrees. The inequivalent atoms are Sr at (0.000, 0.000, 0.000), Sr at (0.000, 0.000, 0.286), Sr at (0.500, 0.500, 0.500) and Mg at (0.500, 0.500, 0.143).